## A
# PBE-GGA CaZr3In, optimized geometry
# - Crystal system: cubic
# - Calculated density: 5.4 g/cm3
data_CaZr3In
_space_group_name_H-M_alt 'P m -3 m'
_space_group_IT_number 221
_space_group_name_Hall '-P 4 2 3'
_cell_length_a 5.093
_cell_length_b 5.093
_cell_length_c 5.093
_cell_angle_alpha 90.00
_cell_angle_beta 90.00
_cell_angle_gamma 90.00
loop_
_atom_site_label
_atom_site_type_symbol
_atom_site_fract_x
_atom_site_fract_y
_atom_site_fract_z
Ca1 Ca 0.000 0.000 0.000
Zr1 Zr 0.000 0.000 0.500
In1 In 0.500 0.500 0.500

=====

## B
# PBE-GGA CaZr3In, optimized geometry
# - Crystal system: cubic
# - Calculated density: 4.5 g/cm3
data_CaZr3In
_space_group_name_H-M_alt 'P m -3 m'
_space_group_IT_number 221
_space_group_name_Hall '-P 4 2 3'
_cell_length_a 5.415
_cell_length_b 5.415
_cell_length_c 5.415
_cell_angle_alpha 90.00
_cell_angle_beta 90.00
_cell_angle_gamma 90.00
loop_
_atom_site_label
_atom_site_type_symbol
_atom_site_fract_x
_atom_site_fract_y
_atom_site_fract_z
Ca1 Ca 0.000 0.000 0.000
Zr1 Zr 0.000 0.500 0.500
In1 In 0.500 0.500 0.500

=====

How do the energies compare? Relative to the most stable structure, in meV per atom: A 578; B 0.

=====

## A
# PBE-GGA Ca3ZrIn, optimized geometry
# - Crystal system: cubic
# - Calculated density: 2.9 g/cm3
data_Ca3ZrIn
_space_group_name_H-M_alt 'P m -3 m'
_space_group_IT_number 221
_space_group_name_Hall '-P 4 2 3'
_cell_length_a 5.710
_cell_length_b 5.710
_cell_length_c 5.710
_cell_angle_alpha 90.00
_cell_angle_beta 90.00
_cell_angle_gamma 90.00
loop_
_atom_site_label
_atom_site_type_symbol
_atom_site_fract_x
_atom_site_fract_y
_atom_site_fract_z
Ca1 Ca 0.000 0.000 0.500
Zr1 Zr 0.000 0.000 0.000
In1 In 0.500 0.500 0.500

=====

## B
# PBE-GGA Ca3ZrIn, optimized geometry
# - Crystal system: cubic
# - Calculated density: 2.7 g/cm3
data_Ca3ZrIn
_space_group_name_H-M_alt 'P m -3 m'
_space_group_IT_number 221
_space_group_name_Hall '-P 4 2 3'
_cell_length_a 5.863
_cell_length_b 5.863
_cell_length_c 5.863
_cell_angle_alpha 90.00
_cell_angle_beta 90.00
_cell_angle_gamma 90.00
loop_
_atom_site_label
_atom_site_type_symbol
_atom_site_fract_x
_atom_site_fract_y
_atom_site_fract_z
Ca1 Ca 0.000 0.000 0.500
Zr1 Zr 0.500 0.500 0.500
In1 In 0.000 0.000 0.000

=====

How do the energies compare? Relative to the most stable structure, in meV per atom: A 196; B 0.

=====

## A
# PBE-GGA Ca5Ir, optimized geometry
# - Crystal system: orthorhombic
# - Calculated density: 3.2 g/cm3
data_Ca5Ir
_space_group_name_H-M_alt 'P n m a'
_space_group_IT_number 62
_cell_length_a 7.656
_cell_length_b 15.669
_cell_length_c 6.762
_cell_angle_alpha 90.00
_cell_angle_beta 90.00
_cell_angle_gamma 90.00
loop_
_space_group_symop_operation_xyz
'x,y,z'
'-x,-y,-z'
'-x+1/2,-y,z+1/2'
'x+1/2,y,-z+1/2'
'x+1/2,-y+1/2,-z+1/2'
'-x+1/2,y+1/2,z+1/2'
'-x,y+1/2,-z'
'x,-y+1/2,z'
loop_
_atom_site_label
_atom_site_type_symbol
_atom_site_fract_x
_atom_site_fract_y
_atom_site_fract_z
Ca1 Ca 0.034 0.144 0.175
Ca2 Ca 0.095 0.750 0.349
Ca3 Ca 0.192 0.066 0.642
Ir1 Ir 0.239 0.250 0.464

=====

## B
# PBE-GGA Ca5Ir, optimized geometry
# - Crystal system: cubic
# - Calculated density: 3.4 g/cm3
data_Ca5Ir
_space_group_name_H-M_alt 'F -4 3 m'
_space_group_IT_number 216
_space_group_name_Hall 'F -4 2 3'
_cell_length_a 9.175
_cell_length_b 9.175
_cell_length_c 9.175
_cell_angle_alpha 90.00
_cell_angle_beta 90.00
_cell_angle_gamma 90.00
loop_
_atom_site_label
_atom_site_type_symbol
_atom_site_fract_x
_atom_site_fract_y
_atom_site_fract_z
Ca1 Ca 0.000 0.000 0.000
Ca2 Ca 0.123 0.123 0.623
Ir1 Ir 0.250 0.250 0.250

=====

## C
# PBE-GGA Ca5Ir, optimized geometry
# - Crystal system: orthorhombic
# - Calculated density: 3.5 g/cm3
data_Ca5Ir
_space_group_name_H-M_alt 'C m m m'
_space_group_IT_number 65
_space_group_name_Hall '-C 2 2'
_cell_length_a 4.539
_cell_length_b 15.059
_cell_length_c 5.506
_cell_angle_alpha 90.00
_cell_angle_beta 90.00
_cell_angle_gamma 90.00
loop_
_atom_site_label
_atom_site_type_symbol
_atom_site_fract_x
_atom_site_fract_y
_atom_site_fract_z
Ca1 Ca 0.000 0.000 0.000
Ca2 Ca 0.000 0.129 0.500
Ca3 Ca 0.000 0.342 0.000
Ir1 Ir 0.000 0.500 0.500

=====

How do the energies compare? Relative to the most stable structure, in meV per atom: A 0; B 863; C 247.

=====

## A
# PBE-GGA CaIr4, optimized geometry
# - Crystal system: cubic
# - Calculated density: 13.5 g/cm3
data_CaIr4
_space_group_name_H-M_alt 'P m -3 m'
_space_group_IT_number 221
_space_group_name_Hall '-P 4 2 3'
_cell_length_a 4.635
_cell_length_b 4.635
_cell_length_c 4.635
_cell_angle_alpha 90.00
_cell_angle_beta 90.00
_cell_angle_gamma 90.00
loop_
_atom_site_label
_atom_site_type_symbol
_atom_site_fract_x
_atom_site_fract_y
_atom_site_fract_z
Ca1 Ca 0.000 0.000 0.000
Ir1 Ir 0.000 0.000 0.500
Ir2 Ir 0.500 0.500 0.500

=====

## B
# PBE-GGA CaIr4, optimized geometry
# - Crystal system: tetragonal
# - Calculated density: 16.6 g/cm3
data_CaIr4
_space_group_name_H-M_alt 'I 4/m'
_space_group_IT_number 87
_space_group_name_Hall '-I 4'
_cell_length_a 6.388
_cell_length_b 6.388
_cell_length_c 3.960
_cell_angle_alpha 90.00
_cell_angle_beta 90.00
_cell_angle_gamma 90.00
loop_
_atom_site_label
_atom_site_type_symbol
_atom_site_fract_x
_atom_site_fract_y
_atom_site_fract_z
Ca1 Ca 0.000 0.000 0.000
Ir1 Ir 0.098 0.317 0.500

=====

How do the energies compare? Relative to the most stable structure, in meV per atom: A 2603; B 0.